The following is a DFT calculation (PBE) of NpTl2RhO8 after structural relaxation.

The structure in extended XYZ format:
```
12
Lattice="5.1651 -0.1319 -0.0028 -0.1301 5.0400 -0.0059 0.0037 0.0077 6.5134" Properties=species:S:1:pos:R:3 pbc="T T T"
Np 0.0000 0.0000 0.0000
Tl 2.5203 2.4597 4.8207
Tl 2.5185 2.4560 1.6840
Rh 0.0019 0.0038 3.2567
O 0.6848 4.0360 1.6187
O 3.4440 3.5785 -0.0062
O 4.3521 0.8760 1.6203
O 4.3539 0.8798 4.8861
O 1.5948 1.3373 6.5109
O 0.6867 4.0398 4.8844
O 3.4492 3.7061 3.2504
O 1.5896 1.2097 3.2544
```

Crystal system: monoclinic
E_form (uncorrected), eV per atom: -1.28
DOS(E_F), states/eV/cell: 8.7
Size of the total moment, μB/f.u.: 1.41